Entry 1:
Density functional theory data (meta-GGA SCAN) for Zr2ZnRh at its PBEsol-relaxed geometry.

```
Zr2ZnRh
1.0
4.127 -1.446 0.000
4.127 1.446 0.000
-0.480 0.000 6.100
Zr Zn Rh
2 1 1
Direct
0.241 0.241 0.259 Zr
0.759 0.759 0.741 Zr
0.500 0.500 0.000 Zn
0.000 0.000 0.500 Rh
```

Summary:
Total energy   -109.8 eV per formula unit

Entry 2:
Density functional theory data (meta-GGA SCAN) for ZrRh4 at its PBEsol-relaxed geometry.

```
ZrRh4
1.0
-2.841 2.841 2.841
2.841 -2.841 2.841
2.841 2.841 -2.841
Zr Rh
1 4
Direct
0.000 0.000 0.000 Zr
0.000 0.000 0.500 Rh
0.000 0.500 0.000 Rh
0.500 0.000 0.000 Rh
0.500 0.500 0.500 Rh
```

Summary:
Total energy   -162.2 eV per formula unit
Excess energy over the best structure of this formula in the dataset   1228.0 meV per atom

Entry 3:
Density functional theory data (meta-GGA SCAN) for Zr5Rh at its PBEsol-relaxed geometry.

```
Zr5Rh
1.0
3.253 0.000 0.000
0.000 3.253 0.000
0.000 0.000 11.550
Zr Rh
5 1
Direct
0.000 0.000 0.000 Zr
0.000 0.000 0.361 Zr
0.000 0.000 0.639 Zr
0.500 0.500 0.184 Zr
0.500 0.500 0.816 Zr
0.500 0.500 0.500 Rh
```

Summary:
Total energy   -189.0 eV per formula unit
Excess energy over the best structure of this formula in the dataset   0.0 meV per atom

Entry 4:
Density functional theory data (meta-GGA SCAN) for Zr3Rh4 at its PBEsol-relaxed geometry.

```
Zr3Rh4
1.0
6.033 3.483 1.841
-6.033 3.483 1.841
0.000 -6.966 1.841
Zr Rh
6 8
Direct
0.007 0.263 0.401 Zr
0.263 0.401 0.007 Zr
0.401 0.007 0.263 Zr
0.599 0.993 0.737 Zr
0.737 0.599 0.993 Zr
0.993 0.737 0.599 Zr
0.000 0.000 0.000 Rh
0.080 0.541 0.243 Rh
0.243 0.080 0.541 Rh
0.459 0.757 0.920 Rh
0.500 0.500 0.500 Rh
0.541 0.243 0.080 Rh
0.757 0.920 0.459 Rh
0.920 0.459 0.757 Rh
```

Summary:
Total energy   -233.8 eV per formula unit

Ordered formation enthalpy at 0 K results: -0.27, 0.71, -0.30, -0.95; unit eV/atom.